# LaYO3 (PBE-GGA, relaxed)
data_LaYO3
_chemical_formula_sum 'La4 Y4 O12'
_cell_length_a 6.121
_cell_length_b 8.609
_cell_length_c 5.915
_cell_angle_alpha 90.00
_cell_angle_beta 90.00
_cell_angle_gamma 90.00
_space_group_name_H-M_alt 'P n m a'
_space_group_IT_number 62
_space_group_name_Hall '-P 2ac 2n'
loop_
_atom_site_label
_atom_site_type_symbol
_atom_site_fract_x
_atom_site_fract_y
_atom_site_fract_z
La1 La 0.048 0.250 0.016
Y1 Y 0.000 0.000 0.500
O1 O 0.063 0.750 0.367
O2 O 0.193 0.571 0.809
# * ρ: 5.878 g/cm3
# * raw formation energy: -3.4666 eV per atom
# * magnetic moment: 0.0 μB/f.u.
# * total energy: -174.4 eV per cell